# 1
Material: Tm5Tl6
Method: DFT, GGA-PBE
State: optimized geometry

Unit cell a=5.2361 b=7.3895 c=9.1616 alpha=113.78 beta=106.60 gamma=90.00
With the nearest neighbours (Å) after each atom.
Element x y z (fractional)
Tm: 0.6640 0.1640 0.3279  8 Tl 3.13-3.35
Tm: 0.0000 0.5000 0.0000  8 Tl 3.20-3.28
Tm: 0.3357 0.3357 0.6715  8 Tl 3.23-3.30
Tm: 0.3360 0.8360 0.6721  8 Tl 3.13-3.35
Tm: 0.6643 0.6643 0.3285  8 Tl 3.23-3.30
Tl: 0.8379 0.0823 0.6757  7 Tm 3.18-3.35
Tl: 0.5001 0.2330 0.0000  6 Tm 3.13-3.28, 1 Tl 3.44
Tl: 0.1621 0.9177 0.3243  7 Tm 3.18-3.35
Tl: 0.8378 0.5935 0.6757  7 Tm 3.18-3.35
Tl: 0.4999 0.7670 0.0000  6 Tm 3.13-3.28, 1 Tl 3.44
Tl: 0.1622 0.4065 0.3243  7 Tm 3.18-3.35

Output
Spin magnetization: 0.00 μB/f.u.
Calculated formation energy: -0.235 eV per atom
Calculated total energy: -39.14 eV per cell

# 2
Material: Tm8Tl3
Method: DFT, GGA-PBE
State: optimized geometry

Unit cell a=7.0684 b=7.0684 c=7.0684 alpha=88.57 beta=88.57 gamma=88.57
With the nearest neighbours (Å) after each atom.
Element x y z (fractional)
Tm: 0.3515 0.3515 0.3515  3 Tl 2.86
Tm: 0.8824 0.3137 0.1420  2 Tl 3.03-3.15
Tm: 0.1176 0.6863 0.8580  2 Tl 3.03-3.15
Tm: 0.6863 0.8580 0.1176  2 Tl 3.03-3.15
Tm: 0.8580 0.1176 0.6863  2 Tl 3.03-3.15
Tm: 0.3137 0.1420 0.8824  2 Tl 3.03-3.15
Tm: 0.6485 0.6485 0.6485  3 Tl 2.86
Tm: 0.1420 0.8824 0.3137  2 Tl 3.03-3.15
Tl: 0.0000 0.5000 0.5000  6 Tm 2.86-3.15
Tl: 0.5000 0.0000 0.5000  6 Tm 2.86-3.15
Tl: 0.5000 0.5000 0.0000  6 Tm 2.86-3.15

Output
Spin magnetization: 0.01 μB/f.u.
Calculated formation energy: 0.130 eV per atom
Calculated total energy: -41.44 eV per cell

# 3
Material: Tm5Tl3
Method: DFT, GGA-PBE
State: optimized geometry

Unit cell a=8.9201 b=8.9201 c=6.5160 alpha=90.00 beta=90.00 gamma=120.00
With the nearest neighbours (Å) after each atom.
Element x y z (fractional)
Tm: 0.0000 0.7661 0.2500  3 Tl 3.12-3.24
Tm: 0.3333 0.6667 0.5000  6 Tl 3.17, 2 Tm 3.26
Tm: 0.7661 0.0000 0.2500  3 Tl 3.12-3.24
Tm: 0.6667 0.3333 0.0000  6 Tl 3.17, 2 Tm 3.26
Tm: 0.6667 0.3333 0.5000  6 Tl 3.17, 2 Tm 3.26
Tm: 0.3333 0.6667 0.0000  6 Tl 3.17, 2 Tm 3.26
Tm: 0.2339 0.0000 0.7500  3 Tl 3.12-3.24
Tm: 0.0000 0.2339 0.7500  3 Tl 3.12-3.24
Tm: 0.2339 0.2339 0.2500  3 Tl 3.12-3.24
Tm: 0.7661 0.7661 0.7500  3 Tl 3.12-3.24
Tl: 0.4026 0.0000 0.2500  7 Tm 3.12-3.24
Tl: 0.5974 0.0000 0.7500  7 Tm 3.12-3.24
Tl: 0.4026 0.4026 0.7500  7 Tm 3.12-3.24
Tl: 0.5974 0.5974 0.2500  7 Tm 3.12-3.24
Tl: 0.0000 0.5974 0.7500  7 Tm 3.12-3.24
Tl: 0.0000 0.4026 0.2500  7 Tm 3.12-3.24

Output
Spin magnetization: 0.00 μB/f.u.
Calculated formation energy: -0.290 eV per atom
E above lowest polymorph: 0.00 kcal/mol of atoms
Calculated total energy: -63.55 eV per cell

Copy entry 2 word for word.
Material: Tm8Tl3
Method: DFT, GGA-PBE
State: optimized geometry

Unit cell a=7.0684 b=7.0684 c=7.0684 alpha=88.57 beta=88.57 gamma=88.57
With the nearest neighbours (Å) after each atom.
Element x y z (fractional)
Tm: 0.3515 0.3515 0.3515  3 Tl 2.86
Tm: 0.8824 0.3137 0.1420  2 Tl 3.03-3.15
Tm: 0.1176 0.6863 0.8580  2 Tl 3.03-3.15
Tm: 0.6863 0.8580 0.1176  2 Tl 3.03-3.15
Tm: 0.8580 0.1176 0.6863  2 Tl 3.03-3.15
Tm: 0.3137 0.1420 0.8824  2 Tl 3.03-3.15
Tm: 0.6485 0.6485 0.6485  3 Tl 2.86
Tm: 0.1420 0.8824 0.3137  2 Tl 3.03-3.15
Tl: 0.0000 0.5000 0.5000  6 Tm 2.86-3.15
Tl: 0.5000 0.0000 0.5000  6 Tm 2.86-3.15
Tl: 0.5000 0.5000 0.0000  6 Tm 2.86-3.15

Output
Spin magnetization: 0.01 μB/f.u.
Calculated formation energy: 0.130 eV per atom
Calculated total energy: -41.44 eV per cell